1.
# KClF2 | the Alexandria database | PBE-GGA | optimized geometry
# Total magnetization: 0.00 Bohr magnetons per cell
# Energy: -23.10 eV per cell
data_KClF2
_symmetry_space_group_name_H-M 'P 1'
_symmetry_Int_Tables_number 1
_cell_length_a 4.6555
_cell_length_b 4.6555
_cell_length_c 8.1605
_cell_angle_alpha 73.43
_cell_angle_beta 73.43
_cell_angle_gamma 90.00
loop_
_symmetry_equiv_pos_as_xyz
'x,y,z'
loop_
_atom_site_label
_atom_site_type_symbol
_atom_site_fract_x
_atom_site_fract_y
_atom_site_fract_z
K1 K 0.7500 0.2500 0.5000
K2 K 0.0000 0.0000 0.0000
Cl1 Cl 0.5000 0.5000 0.0000
Cl2 Cl 0.2500 0.7500 0.5000
F1 F 0.5305 0.1250 0.2500
F2 F 0.3750 0.4695 0.7500
F3 F 0.2195 0.6250 0.2500
F4 F 0.8750 0.7805 0.7500



2.
# K3ClF2 | the Alexandria database | PBE-GGA | optimized geometry
# Total magnetization: 0.00 Bohr magnetons per cell
# Energy: -23.42 eV per cell
data_K3ClF2
_symmetry_space_group_name_H-M 'P 1'
_symmetry_Int_Tables_number 1
_cell_length_a 3.9950
_cell_length_b 5.9503
_cell_length_c 7.0814
_cell_angle_alpha 114.84
_cell_angle_beta 106.38
_cell_angle_gamma 90.00
loop_
_symmetry_equiv_pos_as_xyz
'x,y,z'
loop_
_atom_site_label
_atom_site_type_symbol
_atom_site_fract_x
_atom_site_fract_y
_atom_site_fract_z
F1 F 0.8332 0.8332 0.1664
F2 F 0.1668 0.1668 0.8336
K1 K 0.5000 0.0000 0.5000
K2 K 0.1918 0.6918 0.8835
K3 K 0.8082 0.3082 0.1165
Cl1 Cl 0.5000 0.5000 0.5000



3.
# K12Cl5F3 | the Alexandria database | PBE-GGA | optimized geometry
# Total magnetization: 0.00 Bohr magnetons per cell
# Energy: -239.83 eV per cell
data_K12Cl5F3
_symmetry_space_group_name_H-M 'P 1'
_symmetry_Int_Tables_number 1
_cell_length_a 16.2651
_cell_length_b 16.2651
_cell_length_c 16.2651
_cell_angle_alpha 109.47
_cell_angle_beta 109.47
_cell_angle_gamma 109.47
loop_
_symmetry_equiv_pos_as_xyz
'x,y,z'
loop_
_atom_site_label
_atom_site_type_symbol
_atom_site_fract_x
_atom_site_fract_y
_atom_site_fract_z
K1 K 0.3125 0.3050 0.9424
K2 K 0.4925 0.3626 0.8050
K3 K 0.3701 0.5576 0.8626
K4 K 0.3125 0.0075 0.8701
K5 K 0.0576 0.1950 0.6875
K6 K 0.4925 0.1299 0.1875
K7 K 0.1950 0.0576 0.1875
K8 K 0.1374 0.1950 0.0075
K9 K 0.0075 0.6950 0.1374
K10 K 0.0075 0.3125 0.3701
K11 K 0.3701 0.8125 0.0075
K12 K 0.5576 0.1875 0.6950
K13 K 0.9424 0.1374 0.1299
K14 K 0.0576 0.8626 0.8701
K15 K 0.6875 0.9925 0.1299
K16 K 0.6950 0.6875 0.5576
K17 K 0.5075 0.8701 0.8125
K18 K 0.8701 0.5075 0.3125
K19 K 0.9424 0.8050 0.3125
K20 K 0.1950 0.1374 0.5075
K21 K 0.1875 0.5576 0.1950
K22 K 0.8125 0.3701 0.5075
K23 K 0.8626 0.8050 0.9925
K24 K 0.6374 0.5075 0.6950
K25 K 0.8050 0.9424 0.8125
K26 K 0.1299 0.4925 0.6875
K27 K 0.6950 0.0075 0.6374
K28 K 0.4424 0.6299 0.6374
K29 K 0.9925 0.6875 0.6299
K30 K 0.3050 0.9925 0.3626
K31 K 0.9925 0.3050 0.8626
K32 K 0.8125 0.4424 0.8050
K33 K 0.8626 0.0576 0.3701
K34 K 0.5576 0.3701 0.3626
K35 K 0.3626 0.4925 0.3050
K36 K 0.8701 0.3626 0.0576
K37 K 0.6299 0.4424 0.1374
K38 K 0.5075 0.6374 0.1950
K39 K 0.3626 0.8701 0.5576
K40 K 0.6374 0.1299 0.4424
K41 K 0.1875 0.6299 0.4925
K42 K 0.6875 0.6950 0.0576
K43 K 0.1299 0.6374 0.9424
K44 K 0.4424 0.8125 0.3050
K45 K 0.1374 0.9424 0.6299
K46 K 0.3050 0.3125 0.4424
K47 K 0.6299 0.1875 0.9925
K48 K 0.8050 0.8626 0.4925
Cl1 Cl 0.1250 0.7500 0.3750
Cl2 Cl 0.3750 0.1250 0.7500
Cl3 Cl 0.8750 0.2500 0.6250
Cl4 Cl 0.1250 0.3750 0.2500
Cl5 Cl 0.6250 0.7500 0.8750
Cl6 Cl 0.5000 0.5000 0.0000
Cl7 Cl 0.8750 0.6250 0.7500
Cl8 Cl 0.0000 0.0000 0.5000
Cl9 Cl 0.3750 0.2500 0.1250
Cl10 Cl 0.0000 0.5000 0.0000
Cl11 Cl 0.5000 0.5000 0.5000
Cl12 Cl 0.7500 0.6250 0.3750
Cl13 Cl 0.2500 0.3750 0.6250
Cl14 Cl 0.7500 0.1250 0.8750
Cl15 Cl 0.2500 0.8750 0.1250
Cl16 Cl 0.0000 0.0000 0.0000
Cl17 Cl 0.5000 0.0000 0.5000
Cl18 Cl 0.0000 0.5000 0.5000
Cl19 Cl 0.5000 0.0000 0.0000
Cl20 Cl 0.6250 0.8750 0.2500
F1 F 0.7500 0.8750 0.6250
F2 F 0.1250 0.2500 0.8750
F3 F 0.2500 0.1250 0.3750
F4 F 0.8750 0.7500 0.1250
F5 F 0.2500 0.6250 0.8750
F6 F 0.6250 0.2500 0.3750
F7 F 0.6250 0.3750 0.7500
F8 F 0.1250 0.8750 0.7500
F9 F 0.8750 0.1250 0.2500
F10 F 0.3750 0.7500 0.6250
F11 F 0.3750 0.6250 0.2500
F12 F 0.7500 0.3750 0.1250



4.
# K5ClF4 | the Alexandria database | PBE-GGA | optimized geometry
# Total magnetization: 0.00 Bohr magnetons per cell
# Energy: -40.25 eV per cell
data_K5ClF4
_symmetry_space_group_name_H-M 'P 1'
_symmetry_Int_Tables_number 1
_cell_length_a 3.9476
_cell_length_b 6.8494
_cell_length_c 9.0294
_cell_angle_alpha 75.40
_cell_angle_beta 77.37
_cell_angle_gamma 73.25
loop_
_symmetry_equiv_pos_as_xyz
'x,y,z'
loop_
_atom_site_label
_atom_site_type_symbol
_atom_site_fract_x
_atom_site_fract_y
_atom_site_fract_z
F1 F 0.8036 0.6097 0.7831
F2 F 0.4019 0.7909 0.4054
F3 F 0.1964 0.3903 0.2169
F4 F 0.5981 0.2091 0.5946
K1 K 0.0000 0.5000 0.5000
K2 K 0.7917 0.0974 0.3192
K3 K 0.6097 0.6554 0.1251
K4 K 0.3903 0.3446 0.8749
K5 K 0.2083 0.9026 0.6808
Cl1 Cl 0.0000 0.0000 0.0000



5.
# K4Cl3F | the Alexandria database | PBE-GGA | optimized geometry
# Total magnetization: 0.01 Bohr magnetons per cell
# Energy: -57.48 eV per cell
data_K4Cl3F
_symmetry_space_group_name_H-M 'P 1'
_symmetry_Int_Tables_number 1
_cell_length_a 7.4763
_cell_length_b 7.6038
_cell_length_c 8.7359
_cell_angle_alpha 90.00
_cell_angle_beta 90.00
_cell_angle_gamma 109.47
loop_
_symmetry_equiv_pos_as_xyz
'x,y,z'
loop_
_atom_site_label
_atom_site_type_symbol
_atom_site_fract_x
_atom_site_fract_y
_atom_site_fract_z
Cl1 Cl 0.7500 0.5000 0.6290
Cl2 Cl 0.7500 0.5000 0.1222
Cl3 Cl 0.2500 0.5000 0.3710
Cl4 Cl 0.7500 0.0000 0.3724
Cl5 Cl 0.2500 0.0000 0.6276
Cl6 Cl 0.2500 0.5000 0.8778
K1 K 0.5145 0.7584 0.6394
K2 K 0.9855 0.2416 0.6394
K3 K 0.0060 0.2201 0.1097
K4 K 0.0145 0.7584 0.3606
K5 K 0.4940 0.7799 0.1097
K6 K 0.9940 0.7799 0.8903
K7 K 0.4855 0.2416 0.3606
K8 K 0.5060 0.2201 0.8903
F1 F 0.2500 0.0000 0.1125
F2 F 0.7500 0.0000 0.8875



6.
# KClF2 | the Alexandria database | PBE-GGA | optimized geometry
# Total magnetization: 2.00 Bohr magnetons per cell
# Energy: -11.12 eV per cell
data_KClF2
_symmetry_space_group_name_H-M 'P 1'
_symmetry_Int_Tables_number 1
_cell_length_a 4.6267
_cell_length_b 4.6267
_cell_length_c 4.6267
_cell_angle_alpha 60.00
_cell_angle_beta 60.00
_cell_angle_gamma 60.00
loop_
_symmetry_equiv_pos_as_xyz
'x,y,z'
loop_
_atom_site_label
_atom_site_type_symbol
_atom_site_fract_x
_atom_site_fract_y
_atom_site_fract_z
K1 K 0.5000 0.5000 0.5000
F1 F 0.2500 0.2500 0.2500
F2 F 0.7500 0.7500 0.7500
Cl1 Cl 0.0000 0.0000 0.0000



What are the calculated volume values for these records? In order: 20.230 24.199 41.406 22.341 29.264 17.508 A^3/atom.